1.
! PBE NaCdPb3, optimized geometry; values from VASP
&SYSTEM
  ibrav = 0, nat = 5, ntyp = 3
/
ATOMIC_SPECIES
Na 22.99 Na.upf
Pb 207.20 Pb.upf
Cd 112.41 Cd.upf
ATOMIC_POSITIONS crystal
Na 0.500 0.500 0.500
Pb 0.000 0.000 0.500
Cd 0.000 0.000 0.000
Pb 0.000 0.500 0.000
Pb 0.500 0.000 0.000
CELL_PARAMETERS angstrom
5.760 0.000 0.000
0.000 5.760 0.000
0.000 0.000 5.760
! distance to the lowest polymorph of the same formula: 317 meV per atom
! total DFT energy (no corrections): -2.40 eV/atom
! DOS(E_F): 0.55 states/eV per atom

2.
! PBE ErZnHgPd, optimized geometry; values from VASP
&SYSTEM
  ibrav = 0, nat = 4, ntyp = 4
/
ATOMIC_SPECIES
Hg 200.59 Hg.upf
Zn 65.41 Zn.upf
Pd 106.42 Pd.upf
Er 167.26 Er.upf
ATOMIC_POSITIONS crystal
Hg 0.500 0.500 0.500
Zn 0.250 0.250 0.250
Pd 0.000 0.000 0.000
Er 0.750 0.750 0.750
CELL_PARAMETERS angstrom
4.809 0.000 0.000
2.404 4.165 0.000
2.404 1.388 3.926
! total DFT energy (no corrections): -3.31 eV/atom
! DOS(E_F): 0.57 states/eV per atom

3.
! PBE LaTi2Ir2, optimized geometry; values from VASP
&SYSTEM
  ibrav = 0, nat = 5, ntyp = 3
/
ATOMIC_SPECIES
Ir 192.22 Ir.upf
Ti 47.87 Ti.upf
La 138.91 La.upf
ATOMIC_POSITIONS crystal
Ir 0.250 0.750 0.500
Ti 0.632 0.632 0.737
Ir 0.750 0.250 0.500
Ti 0.368 0.368 0.263
La 0.000 0.000 0.000
CELL_PARAMETERS angstrom
4.280 0.000 0.000
0.000 4.280 0.000
2.140 2.140 5.619
! distance to the lowest polymorph of the same formula: 379 meV per atom
! total DFT energy (no corrections): -8.11 eV/atom
! DOS(E_F): 1.48 states/eV per atom

4.
! PBE MgZn2Ni3, optimized geometry; values from VASP
&SYSTEM
  ibrav = 0, nat = 6, ntyp = 3
/
ATOMIC_SPECIES
Zn 65.41 Zn.upf
Ni 58.69 Ni.upf
Mg 24.30 Mg.upf
ATOMIC_POSITIONS crystal
Zn 0.500 0.500 0.840
Ni 0.000 0.000 0.000
Ni 0.000 0.000 0.315
Ni 0.000 0.000 0.685
Zn 0.500 0.500 0.160
Mg 0.500 0.500 0.500
CELL_PARAMETERS angstrom
-1.345 2.194 1.161
-2.456 -0.986 -0.982
-1.216 -5.024 8.083
! total DFT energy (no corrections): -3.79 eV/atom
! DOS(E_F): 0.33 states/eV per atom

5.
! PBE Li3MgNi, optimized geometry; values from VASP
&SYSTEM
  ibrav = 0, nat = 10, ntyp = 3
/
ATOMIC_SPECIES
Li 6.94 Li.upf
Mg 24.30 Mg.upf
Ni 58.69 Ni.upf
ATOMIC_POSITIONS crystal
Li 0.250 0.708 0.454
Li 0.750 0.816 0.243
Li 0.750 0.852 0.845
Li 0.250 0.007 0.155
Mg 0.750 0.356 0.194
Ni 0.750 0.472 0.913
Mg 0.250 0.162 0.806
Li 0.750 0.254 0.546
Ni 0.250 0.559 0.087
Li 0.250 0.572 0.757
CELL_PARAMETERS angstrom
4.073 0.000 0.000
0.000 5.984 -2.381
0.000 -0.429 7.630
! distance to the lowest polymorph of the same formula: 0 meV per atom
! total DFT energy (no corrections): -2.59 eV/atom
! DOS(E_F): 0.53 states/eV per atom

6.
! PBE La16Tb6Sm7, optimized geometry; values from VASP
&SYSTEM
  ibrav = 0, nat = 29, ntyp = 3
/
ATOMIC_SPECIES
Sm 150.36 Sm.upf
La 138.91 La.upf
Tb 158.93 Tb.upf
ATOMIC_POSITIONS crystal
Sm 0.000 0.500 0.500
La 0.125 0.125 0.624
La 0.651 0.651 0.048
Sm 0.000 0.000 0.000
Sm 0.500 0.500 0.000
La 0.952 0.349 0.349
La 0.651 0.048 0.651
Tb 0.737 0.263 0.737
La 0.349 0.952 0.349
La 0.125 0.125 0.125
La 0.624 0.125 0.125
Tb 0.263 0.737 0.737
Sm 0.000 0.000 0.500
La 0.048 0.651 0.651
La 0.376 0.875 0.875
La 0.125 0.624 0.125
Tb 0.737 0.737 0.263
Sm 0.500 0.000 0.500
La 0.651 0.651 0.651
La 0.875 0.875 0.376
Sm 0.500 0.000 0.000
La 0.349 0.349 0.349
Tb 0.737 0.263 0.263
Sm 0.000 0.500 0.000
La 0.875 0.376 0.875
La 0.875 0.875 0.875
Tb 0.263 0.737 0.263
Tb 0.263 0.263 0.737
La 0.349 0.349 0.952
CELL_PARAMETERS angstrom
3.409 -9.765 5.063
-1.326 -10.068 -5.429
9.208 -5.645 -3.993
! total DFT energy (no corrections): -4.62 eV/atom
! DOS(E_F): 1.43 states/eV per atom

7.
! PBE Sc2TlC, optimized geometry; values from VASP
&SYSTEM
  ibrav = 0, nat = 4, ntyp = 3
/
ATOMIC_SPECIES
C 12.01 C.upf
Sc 44.96 Sc.upf
Tl 204.38 Tl.upf
ATOMIC_POSITIONS crystal
C 0.000 0.500 0.500
Sc 0.720 0.939 0.659
Sc 0.280 0.061 0.341
Tl 0.500 0.500 0.000
CELL_PARAMETERS angstrom
3.376 0.000 0.000
-1.688 2.922 0.002
0.000 -1.959 7.676
! distance to the lowest polymorph of the same formula: 0 meV per atom
! total DFT energy (no corrections): -6.57 eV/atom
! DOS(E_F): 0.58 states/eV per atom

8.
! PBE LaRePb, optimized geometry; values from VASP
&SYSTEM
  ibrav = 0, nat = 3, ntyp = 3
/
ATOMIC_SPECIES
Pb 207.20 Pb.upf
La 138.91 La.upf
Re 186.21 Re.upf
ATOMIC_POSITIONS crystal
Pb 0.000 0.000 0.000
La 0.750 0.750 0.750
Re 0.500 0.500 0.500
CELL_PARAMETERS angstrom
-3.773 2.696 1.991
-0.763 -0.028 4.988
1.011 4.122 2.730
! distance to the lowest polymorph of the same formula: 982 meV per atom
! total DFT energy (no corrections): -5.68 eV/atom
! DOS(E_F): 2.18 states/eV per atom

9.
! PBE Cs3RuBr, optimized geometry; values from VASP
&SYSTEM
  ibrav = 0, nat = 5, ntyp = 3
/
ATOMIC_SPECIES
Cs 132.91 Cs.upf
Br 79.90 Br.upf
Ru 101.07 Ru.upf
ATOMIC_POSITIONS crystal
Cs 0.500 0.000 0.000
Cs 0.000 0.500 0.000
Cs 0.000 0.000 0.500
Br 0.500 0.500 0.500
Ru 0.000 0.000 0.000
CELL_PARAMETERS angstrom
-0.577 -3.115 5.004
5.710 0.952 1.251
-1.463 4.946 2.911
! ΔE_f (raw): 95.6 meV/atom
! total DFT energy (no corrections): -2.61 eV/atom
! DOS(E_F): 0.37 states/eV per atom

10.
! PBE YTeRhBr2, optimized geometry; values from VASP
&SYSTEM
  ibrav = 0, nat = 5, ntyp = 4
/
ATOMIC_SPECIES
Te 127.60 Te.upf
Br 79.90 Br.upf
Rh 102.91 Rh.upf
Y 88.91 Y.upf
ATOMIC_POSITIONS crystal
Te 0.000 0.000 0.000
Br 0.000 0.000 0.500
Rh 0.500 0.500 0.500
Y 0.000 0.500 0.000
Br 0.500 0.000 0.000
CELL_PARAMETERS angstrom
-3.653 4.093 -0.063
-3.082 -2.684 4.345
2.953 2.693 3.759
! ΔE_f (raw): 677.0 meV/atom
! total DFT energy (no corrections): -3.38 eV/atom
! DOS(E_F): 0.99 states/eV per atom

11.
! PBE LaCr2Cu, optimized geometry; values from VASP
&SYSTEM
  ibrav = 0, nat = 4, ntyp = 3
/
ATOMIC_SPECIES
La 138.91 La.upf
Cr 52.00 Cr.upf
Cu 63.55 Cu.upf
ATOMIC_POSITIONS crystal
La 0.250 0.750 0.500
Cr 0.964 0.964 0.000
Cu 0.750 0.250 0.500
Cr 0.536 0.536 0.000
CELL_PARAMETERS angstrom
5.628 -0.001 -0.056
2.344 5.117 0.056
-3.377 -3.507 2.824
! distance to the lowest polymorph of the same formula: 346 meV per atom
! total DFT energy (no corrections): -6.43 eV/atom
! DOS(E_F): 0.94 states/eV per atom

12.
! PBE Be2FeCu, optimized geometry; values from VASP
&SYSTEM
  ibrav = 0, nat = 4, ntyp = 3
/
ATOMIC_SPECIES
Be 9.01 Be.upf
Cu 63.55 Cu.upf
Fe 55.84 Fe.upf
ATOMIC_POSITIONS crystal
Be 0.000 0.000 0.000
Cu 0.500 0.500 0.500
Be 0.250 0.250 0.250
Fe 0.750 0.750 0.750
CELL_PARAMETERS angstrom
3.851 0.000 0.000
1.925 3.335 0.000
1.925 1.112 3.144
! total DFT energy (no corrections): -4.90 eV/atom
! DOS(E_F): 0.94 states/eV per atom